# NdCuSbO | Alexandria | GGA-PBE | optimized geometry
data_NdCuSbO
_cell_length_a 4.015
_cell_length_b 4.015
_cell_length_c 10.039
_cell_angle_alpha 90.00
_cell_angle_beta 90.00
_cell_angle_gamma 90.00
_symmetry_space_group_name_H-M 'P 1'
_symmetry_Int_Tables_number 1
_symmetry_space_group_name_Hall 'P 1'
loop_
_atom_site_label
_atom_site_type_symbol
_atom_site_fract_x
_atom_site_fract_y
_atom_site_fract_z
Cu1 Cu 0.500 0.500 0.000
O1 O 0.000 0.000 0.500
Sb1 Sb 0.000 0.500 0.829
Cu2 Cu 0.000 0.000 0.000
Nd1 Nd 0.500 0.000 0.619
Nd2 Nd 0.000 0.500 0.381
O2 O 0.500 0.500 0.500
Sb2 Sb 0.500 0.000 0.171
# Magnetic moment: 0.00 μB/f.u.
# Raw formation energy: -1.597 eV per atom
# Mass density: 7.09 g cm⁻³
# D(E_F): 0.1329 states/eV per atom

=====

# SrNd2CuO5 | Alexandria | GGA-PBE | optimized geometry
data_SrNd2CuO5
_cell_length_a 6.719
_cell_length_b 6.719
_cell_length_c 7.470
_cell_angle_alpha 116.72
_cell_angle_beta 116.72
_cell_angle_gamma 90.00
_symmetry_space_group_name_H-M 'P 1'
_symmetry_Int_Tables_number 1
_symmetry_space_group_name_Hall 'P 1'
loop_
_atom_site_label
_atom_site_type_symbol
_atom_site_fract_x
_atom_site_fract_y
_atom_site_fract_z
O1 O 0.723 0.223 0.737
O2 O 0.014 0.514 0.737
Cu1 Cu 0.750 0.250 0.500
Sr1 Sr 0.250 0.250 0.500
O3 O 0.486 0.277 0.263
Cu2 Cu 0.250 0.750 0.500
Sr2 Sr 0.750 0.750 0.500
Nd1 Nd 0.829 0.671 0.000
Nd2 Nd 0.671 0.171 0.000
O4 O 0.000 0.000 0.000
O5 O 0.986 0.486 0.263
O6 O 0.514 0.723 0.737
O7 O 0.277 0.777 0.263
O8 O 0.777 0.986 0.263
O9 O 0.500 0.500 0.000
O10 O 0.223 0.014 0.737
Nd3 Nd 0.329 0.829 0.000
Nd4 Nd 0.171 0.329 0.000
# Magnetic moment: 1.01 μB/f.u.
# Raw formation energy: -2.513 eV per atom
# Mass density: 6.63 g cm⁻³
# D(E_F): 0.6212 states/eV per atom

=====

# SrNdCuO4 | Alexandria | GGA-PBE | optimized geometry
data_SrNdCuO4
_cell_length_a 3.850
_cell_length_b 3.850
_cell_length_c 6.777
_cell_angle_alpha 106.50
_cell_angle_beta 106.50
_cell_angle_gamma 90.00
_symmetry_space_group_name_H-M 'P 1'
_symmetry_Int_Tables_number 1
_symmetry_space_group_name_Hall 'P 1'
loop_
_atom_site_label
_atom_site_type_symbol
_atom_site_fract_x
_atom_site_fract_y
_atom_site_fract_z
Cu1 Cu 0.002 0.002 0.003
O1 O 0.992 0.492 0.984
O2 O 0.174 0.174 0.348
O3 O 0.492 0.992 0.984
O4 O 0.837 0.837 0.674
Sr1 Sr 0.641 0.641 0.282
Nd1 Nd 0.362 0.362 0.725
# Magnetic moment: 0.00 μB/f.u.
# Raw formation energy: -2.194 eV per atom
# Mass density: 6.49 g cm⁻³
# D(E_F): 0.0838 states/eV per atom

=====

# SrNd2Cu2O6 | Alexandria | GGA-PBE | optimized geometry
data_SrNd2Cu2O6
_cell_length_a 10.280
_cell_length_b 10.280
_cell_length_c 10.280
_cell_angle_alpha 158.38
_cell_angle_beta 158.38
_cell_angle_gamma 30.76
_symmetry_space_group_name_H-M 'P 1'
_symmetry_Int_Tables_number 1
_symmetry_space_group_name_Hall 'P 1'
loop_
_atom_site_label
_atom_site_type_symbol
_atom_site_fract_x
_atom_site_fract_y
_atom_site_fract_z
Cu1 Cu 0.410 0.410 0.000
Nd1 Nd 0.180 0.180 0.000
O1 O 0.583 0.083 0.500
O2 O 0.924 0.424 0.500
O3 O 0.083 0.583 0.500
Sr1 Sr 0.819 0.819 0.000
O4 O 0.697 0.697 0.000
Nd2 Nd 0.999 0.999 0.000
O5 O 0.424 0.924 0.500
Cu2 Cu 0.588 0.588 0.000
O6 O 0.292 0.292 0.000
# Magnetic moment: 0.00 μB/f.u.
# Raw formation energy: -2.198 eV per atom
# Mass density: 6.75 g cm⁻³
# D(E_F): 0.2247 states/eV per atom

=====

# Sr2NdCuO5 | Alexandria | GGA-PBE | optimized geometry
data_Sr2NdCuO5
_cell_length_a 6.608
_cell_length_b 6.608
_cell_length_c 7.479
_cell_angle_alpha 116.22
_cell_angle_beta 116.22
_cell_angle_gamma 90.00
_symmetry_space_group_name_H-M 'P 1'
_symmetry_Int_Tables_number 1
_symmetry_space_group_name_Hall 'P 1'
loop_
_atom_site_label
_atom_site_type_symbol
_atom_site_fract_x
_atom_site_fract_y
_atom_site_fract_z
Sr1 Sr 0.835 0.665 0.000
O1 O 0.804 0.993 0.297
O2 O 0.000 0.000 0.000
Nd1 Nd 0.250 0.250 0.500
O3 O 0.304 0.804 0.297
Sr2 Sr 0.165 0.335 0.000
Sr3 Sr 0.665 0.165 0.000
Cu1 Cu 0.750 0.250 0.500
O4 O 0.493 0.304 0.297
O5 O 0.993 0.493 0.297
O6 O 0.500 0.500 0.000
Cu2 Cu 0.250 0.750 0.500
O7 O 0.696 0.196 0.703
Nd2 Nd 0.750 0.750 0.500
O8 O 0.007 0.507 0.703
Sr4 Sr 0.335 0.835 0.000
O9 O 0.507 0.696 0.703
O10 O 0.196 0.007 0.703
# Magnetic moment: 2.03 μB/f.u.
# Raw formation energy: -2.093 eV per atom
# Mass density: 6.03 g cm⁻³
# D(E_F): 0.3907 states/eV per atom

=====

# SrNd2Cu2O6 | Alexandria | GGA-PBE | optimized geometry
data_SrNd2Cu2O6
_cell_length_a 10.239
_cell_length_b 10.239
_cell_length_c 10.239
_cell_angle_alpha 158.34
_cell_angle_beta 158.34
_cell_angle_gamma 30.82
_symmetry_space_group_name_H-M 'P 1'
_symmetry_Int_Tables_number 1
_symmetry_space_group_name_Hall 'P 1'
loop_
_atom_site_label
_atom_site_type_symbol
_atom_site_fract_x
_atom_site_fract_y
_atom_site_fract_z
Nd1 Nd 0.177 0.177 0.000
Cu1 Cu 0.410 0.410 0.000
Sr1 Sr 0.000 0.000 0.000
Cu2 Cu 0.590 0.590 0.000
O1 O 0.591 0.091 0.500
O2 O 0.707 0.707 0.000
O3 O 0.293 0.293 0.000
Nd2 Nd 0.823 0.823 0.000
O4 O 0.409 0.909 0.500
O5 O 0.909 0.409 0.500
O6 O 0.091 0.591 0.500
# Magnetic moment: 0.00 μB/f.u.
# Raw formation energy: -2.209 eV per atom
# Mass density: 6.81 g cm⁻³
# D(E_F): 0.1710 states/eV per atom